#a
CePuSi3 | PBE | optimized geometry

Lattice parameters (Å, degrees): 4.1893 3.9648 12.5378 90.00 99.62 90.00
Each line ends with the local moment (μB).
Element x y z (fractional)
Si 0.4754 0.2500 0.9508  0.00
Si 0.6731 0.2500 0.3463  -0.05
Si 0.3810 0.2500 0.7620  -0.01
Si 0.3269 0.7500 0.6537  -0.05
Si 0.5246 0.7500 0.0492  0.00
Si 0.6190 0.7500 0.2380  -0.01
Pu 0.7949 0.2500 0.5898  5.33
Pu 0.2051 0.7500 0.4102  5.33
Ce 0.0703 0.2500 0.1406  -0.34
Ce 0.9297 0.7500 0.8594  -0.34

## Properties
Its symmetry is No. 63. Its size of the total moment is 10.8 μB/cell.



#b
CePuSi3 | PBE | optimized geometry

Lattice parameters (Å, degrees): 4.0070 4.1004 12.6159 99.35 90.00 90.00
Each line ends with the local moment (μB).
Element x y z (fractional)
Si 0.2500 0.6693 0.3385  -0.01
Si 0.2500 0.3834 0.7668  -0.01
Si 0.7500 0.5234 0.0468  -0.02
Si 0.7500 0.6166 0.2332  -0.01
Si 0.7500 0.3307 0.6615  -0.01
Si 0.2500 0.4766 0.9532  -0.02
Pu 0.2500 0.0695 0.1390  5.13
Pu 0.7500 0.9305 0.8610  5.13
Ce 0.2500 0.7955 0.5910  0.70
Ce 0.7500 0.2045 0.4090  0.70

## Properties
Its symmetry is No. 63. Its size of the total moment is 12.9 μB/cell.



Which structure is most stable? #a, by 51 meV/atom over the runner-up.



#a
Ce4PuSi2 | PBE | optimized geometry

Lattice parameters (Å, degrees): 5.4549 5.4549 6.9952 112.95 112.95 90.00
Each line ends with the local moment (μB).
Element x y z (fractional)
Ce 0.7500 0.2500 0.5000  -0.27
Ce 0.2500 0.7500 0.5000  -0.27
Ce 0.0000 0.5000 0.0000  0.82
Ce 0.5000 0.0000 0.0000  0.82
Si 0.3768 0.3768 0.7536  0.03
Si 0.6232 0.6232 0.2464  0.03
Pu 0.0000 0.0000 0.0000  5.76

## Properties
Its symmetry is No. 139. Its size of the total moment is 7.3 μB/cell.



#b
Ce4PuSi2 | PBE | optimized geometry

Lattice parameters (Å, degrees): 4.6073 6.1612 6.1612 100.49 90.00 90.00
Each line ends with the local moment (μB).
Element x y z (fractional)
Ce 0.5000 0.5000 0.0000  0.42
Ce 0.0000 0.7953 0.7953  0.44
Ce 0.0000 0.2047 0.2047  0.44
Ce 0.5000 0.0000 0.5000  0.42
Si 0.0000 0.7146 0.2854  -0.04
Si 0.0000 0.2854 0.7146  -0.04
Pu 0.5000 0.5000 0.5000  5.24

## Properties
Its symmetry is No. 65. Its size of the total moment is 7.4 μB/cell.



Which structure is most stable? #b, by 277 meV/atom over the runner-up.



#a
CePuSi4 | PBE | optimized geometry

Lattice parameters (Å, degrees): 5.2941 5.2941 5.2941 60.00 60.00 60.00
Each line ends with the local moment (μB).
Element x y z (fractional)
Si 0.1214 0.6262 0.6262  -0.03
Si 0.6262 0.6262 0.1214  -0.03
Si 0.6262 0.6262 0.6262  -0.03
Si 0.6262 0.1214 0.6262  -0.03
Pu 0.0000 0.0000 0.0000  5.26
Ce 0.2500 0.2500 0.2500  0.23

## Properties
Its symmetry is No. 216. Its size of the total moment is 5.7 μB/cell.



#b
CePuSi4 | PBE | optimized geometry

Lattice parameters (Å, degrees): 4.0791 5.7069 5.7069 89.72 69.06 69.06
Each line ends with the local moment (μB).
Element x y z (fractional)
Si 0.8333 0.4189 0.9144  -0.02
Si 0.8333 0.9144 0.4189  -0.02
Si 0.1666 0.0857 0.5810  -0.02
Si 0.1666 0.5810 0.0857  -0.02
Ce 0.5000 0.0000 0.0000  -0.40
Pu 0.5000 0.5000 0.5000  5.10

## Properties
Its symmetry is No. 71. Its size of the total moment is 4.8 μB/cell.



Which structure is most stable? #b, by 133 meV/atom over the runner-up.



#a
CePu2Si | PBE | optimized geometry

Lattice parameters (Å, degrees): 3.8235 3.8235 6.2975 90.00 90.00 90.00
Each line ends with the local moment (μB).
Element x y z (fractional)
Pu 0.0000 0.0000 0.7776  5.23
Pu 0.0000 0.0000 0.2224  5.23
Ce 0.5000 0.5000 0.5000  0.68
Si 0.5000 0.5000 0.0000  -0.10

## Properties
Its symmetry is No. 123. Its size of the total moment is 11.6 μB/cell.



#b
CePu2Si | PBE | optimized geometry

Lattice parameters (Å, degrees): 4.9974 4.9974 4.9974 60.00 60.00 60.00
Each line ends with the local moment (μB).
Element x y z (fractional)
Si 0.0000 0.0000 0.0000  -0.07
Pu 0.7500 0.7500 0.7500  5.44
Pu 0.2500 0.2500 0.2500  5.44
Ce 0.5000 0.5000 0.5000  1.10

## Properties
Its symmetry is No. 225. Its size of the total moment is 12.8 μB/cell.



#c
CePu2Si | PBE | optimized geometry

Lattice parameters (Å, degrees): 4.5019 4.4974 4.4974 90.00 90.00 90.00
Each line ends with the local moment (μB).
Element x y z (fractional)
Pu 0.0000 0.0000 0.5000  5.32
Pu 0.0000 0.5000 0.0000  5.32
Ce 0.5000 0.0000 0.0000  0.60
Si 0.5000 0.5000 0.5000  -0.09

## Properties
Its symmetry is No. 123. Its size of the total moment is 11.7 μB/cell.



Which structure is most stable? #c, by 67 meV/atom over the runner-up.



#a
Ce2SmPu | PBE | optimized geometry

Lattice parameters (Å, degrees): 3.3895 3.3895 9.7598 90.00 90.00 90.00
Each line ends with the local moment (μB).
Element x y z (fractional)
Pu 0.5000 0.5000 0.0000  5.04
Ce 0.0000 0.0000 0.7753  -0.17
Ce 0.0000 0.0000 0.2247  -0.17
Sm 0.5000 0.5000 0.5000  -0.05

## Properties
Its symmetry is No. 123. Its size of the total moment is 4.7 μB/cell.



#b
Ce2SmPu | PBE | optimized geometry

Lattice parameters (Å, degrees): 3.5765 3.5765 10.1954 79.90 79.90 60.00
Each line ends with the local moment (μB).
Element x y z (fractional)
Sm 0.0000 0.0000 0.0000  0.08
Pu 0.5000 0.5000 0.5000  1.40
Ce 0.1139 0.1139 0.6582  -0.02
Ce 0.8861 0.8861 0.3418  -0.02

## Properties
Its symmetry is No. 166. Its size of the total moment is 1.5 μB/cell.



Which structure is most stable? #a, by 333 meV/atom over the runner-up.



#a
Ce2SmPu | PBE | optimized geometry

Lattice parameters (Å, degrees): 3.6629 3.6629 9.4736 78.85 78.85 60.00
Each line ends with the local moment (μB).
Element x y z (fractional)
Pu 0.6621 0.6621 0.0137  1.93
Sm 0.5028 0.5028 0.4916  0.05
Ce 0.0578 0.0578 0.8267  0.10
Ce 0.2773 0.2773 0.1680  -0.13

## Properties
Its symmetry is No. 160. Its size of the total moment is 2.0 μB/cell.



#b
Ce2SmPu | PBE | optimized geometry

Lattice parameters (Å, degrees): 4.7536 4.8814 4.8814 90.00 90.00 90.00
Each line ends with the local moment (μB).
Element x y z (fractional)
Ce 0.0000 0.5000 0.0000  0.42
Ce 0.0000 0.0000 0.5000  0.42
Sm 0.5000 0.0000 0.0000  -0.03
Pu 0.5000 0.5000 0.5000  5.40

## Properties
Its symmetry is No. 123. Its size of the total moment is 6.8 μB/cell.



Which structure is most stable? #b, by 171 meV/atom over the runner-up.



#a
CeSmPu | PBE | optimized geometry

Lattice parameters (Å, degrees): 3.4527 3.4527 7.6168 103.10 103.10 90.00
Each line ends with the local moment (μB).
Element x y z (fractional)
Ce 0.0125 0.0125 0.0250  0.08
Pu 0.6547 0.6547 0.3094  -5.36
Sm 0.3328 0.3328 0.6656  0.09

## Properties
Its symmetry is No. 107. Its size of the total moment is 5.4 μB/cell.



#b
CeSmPu | PBE | optimized geometry

Lattice parameters (Å, degrees): 3.2101 5.5923 5.5923 120.00 90.00 90.00
Each line ends with the local moment (μB).
Element x y z (fractional)
Pu 0.6666 0.3333 0.6667  5.38
Ce 0.1669 0.0000 0.0000  0.38
Sm 0.1666 0.6667 0.3333  -0.07

## Properties
Its symmetry is No. 187. Its size of the total moment is 6.1 μB/cell.



Which structure is most stable? #a, by 129 meV/atom over the runner-up.



#a
CeSmPu2 | PBE | optimized geometry

Lattice parameters (Å, degrees): 4.7756 4.8807 4.8807 90.00 90.00 90.00
Each line ends with the local moment (μB).
Element x y z (fractional)
Pu 0.0000 0.0000 0.5000  5.42
Pu 0.0000 0.5000 0.0000  5.42
Sm 0.5000 0.5000 0.5000  0.03
Ce 0.5000 0.0000 0.0000  0.60

## Properties
Its symmetry is No. 123. Its size of the total moment is 12.4 μB/cell.



#b
CeSmPu2 | PBE | optimized geometry

Lattice parameters (Å, degrees): 5.4709 5.4709 5.4709 60.00 60.00 60.00
Each line ends with the local moment (μB).
Element x y z (fractional)
Ce 0.0000 0.0000 0.0000  1.11
Pu 0.2500 0.2500 0.2500  5.60
Pu 0.7500 0.7500 0.7500  5.60
Sm 0.5000 0.5000 0.5000  0.26

## Properties
Its symmetry is No. 225. Its size of the total moment is 14.1 μB/cell.



#c
CeSmPu2 | PBE | optimized geometry

Lattice parameters (Å, degrees): 3.3731 3.3731 9.5539 90.00 90.00 90.00
Each line ends with the local moment (μB).
Element x y z (fractional)
Pu 0.0000 0.0000 0.7737  5.24
Pu 0.0000 0.0000 0.2263  5.24
Sm 0.5000 0.5000 0.5000  0.00
Ce 0.5000 0.5000 0.0000  0.01

## Properties
Its symmetry is No. 123. Its size of the total moment is 11.1 μB/cell.



Which structure is most stable? #c, by 37 meV/atom over the runner-up.



#a
Ce3Pu2Sn2 | PBE | optimized geometry

Lattice parameters (Å, degrees): 4.6926 6.0545 7.2688 88.99 90.00 112.80
Each line ends with the local moment (μB).
Element x y z (fractional)
Ce 0.6223 0.2447 0.4847  0.79
Ce 0.3777 0.7553 0.5153  0.79
Ce 0.5000 0.0000 0.0000  1.01
Sn 0.8421 0.6842 0.2065  -0.07
Sn 0.1579 0.3158 0.7935  -0.07
Pu 0.1366 0.2732 0.2430  5.60
Pu 0.8634 0.7268 0.7570  5.60

## Properties
Its symmetry is No. 12. Its size of the total moment is 15.0 μB/cell.



#b
Ce3Pu2Sn2 | PBE | optimized geometry

Lattice parameters (Å, degrees): 3.4561 4.9904 11.0248 76.93 99.02 90.00
Each line ends with the local moment (μB).
Element x y z (fractional)
Ce 0.0000 0.5000 0.0000  0.79
Ce 0.2118 0.7878 0.4236  0.29
Ce 0.7882 0.2122 0.5764  0.29
Sn 0.4233 0.0766 0.8465  -0.06
Sn 0.5767 0.9234 0.1535  -0.06
Pu 0.8597 0.6400 0.7194  5.38
Pu 0.1403 0.3600 0.2806  5.38

## Properties
Its symmetry is No. 71. Its size of the total moment is 12.5 μB/cell.



Which structure is most stable? #a, by 32 meV/atom over the runner-up.



#a
Ce6PuSn | PBE | optimized geometry

Lattice parameters (Å, degrees): 6.0277 6.9510 11.7675 99.79 90.00 115.70
Element x y z (fractional)
Pu 0.0000 0.5000 0.5000
Pu 0.5000 0.5000 0.0000
Ce 0.3049 0.4440 0.1831
Ce 0.1641 0.1604 0.8935
Ce 0.2906 0.7291 0.9674
Ce 0.8609 0.5560 0.3169
Ce 0.1391 0.4440 0.6831
Ce 0.6951 0.5560 0.8169
Ce 0.0037 0.8396 0.6065
Ce 0.9963 0.1604 0.3935
Ce 0.5615 0.2709 0.5326
Ce 0.7094 0.2709 0.0326
Ce 0.8359 0.8396 0.1065
Ce 0.4385 0.7291 0.4674
Sn 0.5947 0.0000 0.7500
Sn 0.4053 0.0000 0.2500

## Properties
Its symmetry is No. 15. Its size of the total moment is 0.0 μB/cell.



#b
Ce6PuSn | PBE | optimized geometry

Lattice parameters (Å, degrees): 4.7080 4.7080 9.5719 90.00 90.00 90.00
Each line ends with the local moment (μB).
Element x y z (fractional)
Ce 0.0000 0.5000 0.7436  -0.47
Ce 0.5000 0.0000 0.7436  -0.47
Ce 0.5000 0.0000 0.2564  -0.47
Ce 0.5000 0.5000 0.5000  -0.17
Ce 0.0000 0.5000 0.2564  -0.47
Ce 0.5000 0.5000 0.0000  -0.82
Sn 0.0000 0.0000 0.0000  0.03
Pu 0.0000 0.0000 0.5000  5.19

## Properties
Its symmetry is No. 123. Its size of the total moment is 1.7 μB/cell.



Which structure is most stable? #a, by 76 meV/atom over the runner-up.



#a
Ce6PuSn3 | PBE | optimized geometry

Lattice parameters (Å, degrees): 8.2643 8.2643 8.2643 77.86 77.86 77.86
Element x y z (fractional)
Ce 0.4728 0.8108 0.4728
Ce 0.1955 0.1955 0.8606
Ce 0.1394 0.8045 0.8045
Ce 0.5272 0.5272 0.1892
Ce 0.8108 0.4728 0.4728
Ce 0.5272 0.1892 0.5272
Ce 0.8045 0.1394 0.8045
Ce 0.1892 0.5272 0.5272
Ce 0.4728 0.4728 0.8108
Ce 0.8045 0.8045 0.1394
Ce 0.1955 0.8606 0.1955
Ce 0.8606 0.1955 0.1955
Sn 0.1441 0.1441 0.4677
Sn 0.8559 0.5323 0.8559
Sn 0.4677 0.1441 0.1441
Sn 0.5323 0.8559 0.8559
Sn 0.1441 0.4677 0.1441
Sn 0.8559 0.8559 0.5323
Pu 0.5000 0.5000 0.5000
Pu 0.0000 0.0000 0.0000

## Properties
Its symmetry is No. 166. Its size of the total moment is 0.0 μB/cell.



#b
Ce6PuSn3 | PBE | optimized geometry

Lattice parameters (Å, degrees): 7.0632 7.0632 7.9403 109.16 109.16 105.18
Each line ends with the local moment (μB).
Element x y z (fractional)
Ce 0.7798 0.2202 0.0000  0.17
Ce 0.0739 0.0739 0.7426  0.02
Ce 0.6687 0.6687 0.7426  0.02
Ce 0.9261 0.9261 0.2574  0.02
Ce 0.3313 0.3313 0.2574  0.02
Ce 0.2202 0.7798 0.0000  0.17
Sn 0.7500 0.2500 0.5000  0.00
Sn 0.2500 0.7500 0.5000  0.00
Sn 0.5000 0.5000 0.0000  0.00
Pu 0.0000 0.0000 0.0000  -0.04

## Properties
Its symmetry is No. 69. Its size of the total moment is 0.4 μB/cell.



Which structure is most stable? #a, by 188 meV/atom over the runner-up.